Entry from Alexandria via LeMat-Bulk: a geometry-optimized TaNb2Sn structure (GGA-PBE).

The calculation puts the density at 10.276 Mg/m³. For the formation energy, the calculation gives 0.0522 eV per atom. Its symmetry is Pm (6).

Cell lengths 2.9716, 9.1574, 5.7741 Å; angles 90.00, 93.15, 90.00 degrees
With the nearest neighbours (Å) after each atom.
Fractional coordinates of all 8 atoms:
Ta1 0.0000 0.0000 0.0000  4 Nb 2.79-2.80, 4 Ta 2.88-2.97
Ta2 0.0639 0.0000 0.5044  4 Nb 2.81-2.86, 4 Ta 2.88-2.97
Nb1 0.3451 0.2417 0.2494  2 Ta 2.80-2.81, 3 Nb 2.97-3.00, 3 Sn 2.97-3.00
Nb2 0.3451 0.7583 0.2494  2 Ta 2.80-2.81, 3 Nb 2.97-3.00, 3 Sn 2.97-3.00
Nb3 0.7057 0.2435 0.7453  2 Ta 2.79-2.86, 3 Nb 2.97-3.00, 3 Sn 2.98-3.01
Nb4 0.7057 0.7565 0.7453  2 Ta 2.79-2.86, 3 Nb 2.97-3.00, 3 Sn 2.98-3.01
Sn1 0.2338 0.5000 0.9390  4 Sn 2.97-3.13, 6 Nb 2.97-3.01
Sn2 0.8707 0.5000 0.4377  4 Sn 2.97-3.13, 6 Nb 2.99-3.00

=====

Entry from Alexandria via LeMat-Bulk: a geometry-optimized Ta3Nb3Sn structure (GGA-PBE).

The calculation puts the density at 11.298 Mg/m³. For the formation energy, the calculation gives 0.2749 eV per atom. Its symmetry is P2_13 (198).

Cell lengths 8.2071, 8.2071, 8.2071 Å; angles 90.00, 90.00, 90.00 degrees
With the nearest neighbours (Å) after each atom.
Fractional coordinates of all 28 atoms:
Ta1 0.0352 0.4648 0.5352  1 Ta 2.74, 3 Nb 3.02
Ta2 0.1450 0.8550 0.3550  6 Nb 2.76-2.87, 3 Ta 2.97
Ta3 0.1578 0.1578 0.1578  1 Sn 2.69, 4 Ta 2.74-2.97, 3 Nb 2.80
Ta4 0.3422 0.8422 0.6578  1 Sn 2.69, 4 Ta 2.74-2.97, 3 Nb 2.80
Ta5 0.3550 0.1450 0.8550  6 Nb 2.76-2.87, 3 Ta 2.97
Ta6 0.4648 0.5352 0.0352  1 Ta 2.74, 3 Nb 3.02
Ta7 0.5352 0.0352 0.4648  1 Ta 2.74, 3 Nb 3.02
Ta8 0.6450 0.6450 0.6450  6 Nb 2.76-2.87, 3 Ta 2.97
Ta9 0.6578 0.3422 0.8422  1 Sn 2.69, 4 Ta 2.74-2.97, 3 Nb 2.80
Ta10 0.8422 0.6578 0.3422  1 Sn 2.69, 4 Ta 2.74-2.97, 3 Nb 2.80
Ta11 0.8550 0.3550 0.1450  6 Nb 2.76-2.87, 3 Ta 2.97
Ta12 0.9648 0.9648 0.9648  1 Ta 2.74, 3 Nb 3.02
Nb1 0.0705 0.3225 0.8722  4 Ta 2.76-3.02, 2 Sn 2.80-2.92, 2 Nb 3.07
Nb2 0.1278 0.5705 0.1775  4 Ta 2.76-3.02, 2 Sn 2.80-2.92, 2 Nb 3.07
Nb3 0.1775 0.1278 0.5705  4 Ta 2.76-3.02, 2 Sn 2.80-2.92, 2 Nb 3.07
Nb4 0.3225 0.8722 0.0705  4 Ta 2.76-3.02, 2 Sn 2.80-2.92, 2 Nb 3.07
Nb5 0.3722 0.4295 0.6775  4 Ta 2.76-3.02, 2 Sn 2.80-2.92, 2 Nb 3.07
Nb6 0.4295 0.6775 0.3722  4 Ta 2.76-3.02, 2 Sn 2.80-2.92, 2 Nb 3.07
Nb7 0.5705 0.1775 0.1278  4 Ta 2.76-3.02, 2 Sn 2.80-2.92, 2 Nb 3.07
Nb8 0.6278 0.9295 0.8225  4 Ta 2.76-3.02, 2 Sn 2.80-2.92, 2 Nb 3.07
Nb9 0.6775 0.3722 0.4295  4 Ta 2.76-3.02, 2 Sn 2.80-2.92, 2 Nb 3.07
Nb10 0.8225 0.6278 0.9295  4 Ta 2.76-3.02, 2 Sn 2.80-2.92, 2 Nb 3.07
Nb11 0.8722 0.0705 0.3225  4 Ta 2.76-3.02, 2 Sn 2.80-2.92, 2 Nb 3.07
Nb12 0.9295 0.8225 0.6278  4 Ta 2.76-3.02, 2 Sn 2.80-2.92, 2 Nb 3.07
Sn1 0.1528 0.6528 0.8472  1 Ta 2.69, 6 Nb 2.80-2.92
Sn2 0.3472 0.3472 0.3472  1 Ta 2.69, 6 Nb 2.80-2.92
Sn3 0.6528 0.8472 0.1528  1 Ta 2.69, 6 Nb 2.80-2.92
Sn4 0.8472 0.1528 0.6528  1 Ta 2.69, 6 Nb 2.80-2.92

=====

Entry from Alexandria via LeMat-Bulk: a geometry-optimized Ta2Nb6Sn structure (GGA-PBE).

The calculation puts the density at 9.336 Mg/m³. For the formation energy, the calculation gives 0.5053 eV per atom. Its symmetry is P4/mmm (123).

Cell lengths 4.6015, 4.6015, 8.7200 Å; angles 90.00, 90.00, 90.00 degrees
With the nearest neighbours (Å) after each atom.
Fractional coordinates of all 9 atoms:
Ta1 0.0000 0.0000 0.1475  1 Ta 2.57, 4 Nb 2.71
Ta2 0.0000 0.0000 0.8525  1 Ta 2.57, 4 Nb 2.71
Nb1 0.0000 0.0000 0.5000  8 Nb 2.83, 2 Ta 3.07
Nb2 0.0000 0.5000 0.3108  2 Ta 2.71, 4 Nb 2.83
Nb3 0.0000 0.5000 0.6892  2 Ta 2.71, 4 Nb 2.83
Nb4 0.5000 0.0000 0.3108  2 Ta 2.71, 4 Nb 2.83
Nb5 0.5000 0.0000 0.6892  2 Ta 2.71, 4 Nb 2.83
Nb6 0.5000 0.5000 0.5000  8 Nb 2.83
Sn1 0.5000 0.5000 0.0000  8 Ta 3.50, 8 Nb 3.55

=====

Entry from Alexandria via LeMat-Bulk: a geometry-optimized Ta5Nb6Sn structure (GGA-PBE).

The calculation puts the density at 11.831 Mg/m³. For the formation energy, the calculation gives -0.0391 eV per atom. Its symmetry is Immm (71).

Cell lengths 8.1511, 8.1511, 8.1511 Å; angles 146.59, 131.32, 60.33 degrees
With the nearest neighbours (Å) after each atom.
Fractional coordinates of all 12 atoms:
Ta1 0.0000 0.0000 0.0000  8 Nb 2.81-2.91
Ta2 0.1689 0.6689 0.5000  8 Nb 2.84-2.86
Ta3 0.3375 0.3375 0.0000  8 Nb 2.87-2.92
Ta4 0.6625 0.6625 0.0000  8 Nb 2.87-2.92
Ta5 0.8311 0.3311 0.5000  8 Nb 2.84-2.86
Nb1 0.0728 0.8295 0.2433  7 Ta 2.85-2.91, 1 Sn 2.96
Nb2 0.2317 0.5000 0.7317  6 Ta 2.81-2.92, 2 Sn 2.96, 1 Nb 3.11
Nb3 0.4139 0.1705 0.2433  7 Ta 2.85-2.91, 1 Sn 2.96
Nb4 0.5861 0.8295 0.7567  7 Ta 2.85-2.91, 1 Sn 2.96
Nb5 0.7683 0.5000 0.2683  6 Ta 2.81-2.92, 2 Sn 2.96, 1 Nb 3.11
Nb6 0.9272 0.1705 0.7567  7 Ta 2.85-2.91, 1 Sn 2.96
Sn1 0.5000 0.0000 0.5000  8 Nb 2.96, 4 Ta 3.28

=====

Entry from Alexandria via LeMat-Bulk: a geometry-optimized Ta3Nb4Sn structure (GGA-PBE).

The calculation puts the density at 11.487 Mg/m³. Its excess energy over the best structure of this formula in the dataset is 0.000 eV/atom. For the formation energy, the calculation gives -0.0370 eV per atom. Its symmetry is P4/mmm (123).

Cell lengths 4.7471, 4.7471, 6.6276 Å; angles 90.00, 90.00, 90.00 degrees
With the nearest neighbours (Å) after each atom.
Fractional coordinates of all 8 atoms:
Ta1 0.0000 0.0000 0.0000  8 Nb 2.85
Ta2 0.0000 0.0000 0.5000  8 Nb 2.94
Ta3 0.5000 0.5000 0.0000  8 Nb 2.85
Nb1 0.0000 0.5000 0.2393  6 Ta 2.85-2.94, 2 Sn 2.94, 1 Nb 3.17
Nb2 0.0000 0.5000 0.7607  6 Ta 2.85-2.94, 2 Sn 2.94, 1 Nb 3.17
Nb3 0.5000 0.0000 0.2393  6 Ta 2.85-2.94, 2 Sn 2.94, 1 Nb 3.17
Nb4 0.5000 0.0000 0.7607  6 Ta 2.85-2.94, 2 Sn 2.94, 1 Nb 3.17
Sn1 0.5000 0.5000 0.5000  8 Nb 2.94

=====

Entry from Alexandria via LeMat-Bulk: a geometry-optimized Ta2NbSn structure (GGA-PBE).

The calculation puts the density at 12.587 Mg/m³. For the formation energy, the calculation gives -0.0595 eV per atom. Its symmetry is C2/m (12).

Cell lengths 5.8714, 5.8714, 4.8456 Å; angles 90.06, 90.06, 64.94 degrees
With the nearest neighbours (Å) after each atom.
Fractional coordinates of all 8 atoms:
Ta1 0.1478 0.6579 0.7497  4 Nb 2.78-3.10, 4 Sn 2.90-2.97, 3 Ta 3.09-3.10
Ta2 0.3421 0.8522 0.2503  4 Nb 2.78-3.10, 4 Sn 2.90-2.97, 3 Ta 3.09-3.10
Ta3 0.6579 0.1478 0.7497  4 Nb 2.78-3.10, 4 Sn 2.90-2.97, 3 Ta 3.09-3.10
Ta4 0.8522 0.3421 0.2503  4 Nb 2.78-3.10, 4 Sn 2.90-2.97, 3 Ta 3.09-3.10
Nb1 0.1358 0.1358 0.7501  8 Ta 2.78-3.10
Nb2 0.8642 0.8642 0.2499  8 Ta 2.78-3.10
Sn1 0.3449 0.3449 0.2496  8 Ta 2.90-2.97, 4 Nb 3.16-3.19
Sn2 0.6551 0.6551 0.7504  8 Ta 2.90-2.97, 4 Nb 3.16-3.19